Record 1
{"formula": "GaTeN2", "functional": "PBE", "state": "relaxed", "lattice": [[5.246, 0.000, 0.000], [0.000, 5.246, 0.000], [2.623, 2.623, 4.369]], "species": ["N", "N", "Ga", "Te", "Te", "N", "N", "Ga"], "fractional_positions": [[0.375, 0.441, 0.750], [0.875, 0.809, 0.750], [0.250, 0.750, 0.500], [0.000, 0.000, 0.000], [0.750, 0.250, 0.500], [0.559, 0.125, 0.250], [0.191, 0.625, 0.250], [0.500, 0.500, 0.000]], "e_tot_ev_per_cell": -40.51, "relative_energy_ev_per_atom": 0.0921, "formation_energy_uncorrected_ev_per_atom": 0.6416}


Record 2
{"formula": "Ga2Te2N", "functional": "PBE", "state": "relaxed", "lattice": [[3.641, 0.000, 0.000], [0.000, 3.641, 0.000], [1.821, 1.821, 7.736]], "species": ["N", "Te", "Te", "Ga", "Ga"], "fractional_positions": [[0.000, 0.000, 0.000], [0.409, 0.409, 0.183], [0.591, 0.591, 0.817], [0.250, 0.750, 0.500], [0.750, 0.250, 0.500]], "e_tot_ev_per_cell": -15.72, "formation_energy_uncorrected_ev_per_atom": 0.9886}


Record 3
{"formula": "GaTeN", "functional": "PBE", "state": "relaxed", "lattice": [[-2.510, 1.201, -1.816], [-4.261, -4.297, 3.046], [-0.928, 3.447, 3.563]], "species": ["Ga", "Ga", "Te", "N", "N", "Te"], "fractional_positions": [[0.000, 0.927, 0.558], [0.500, 0.073, 0.058], [0.000, 0.639, 0.939], [0.500, 0.074, 0.667], [0.000, 0.926, 0.167], [0.500, 0.361, 0.439]], "e_tot_ev_per_cell": -28.45, "relative_energy_ev_per_atom": 0.1414, "formation_energy_uncorrected_ev_per_atom": 0.0888}


Q: What is the formula in the first record?
A: GaTeN2